First-principles (PBE-GGA) data for a geometry-optimized LiBiPRh2 structure, as listed in Alexandria via LeMat-Bulk.

a = 5.041 Å, b = 5.041 Å, c = 5.260 Å
α = 90.00°, β = 90.00°, γ = 90.00°
Atoms (fractional coordinates):
Li  0.000  0.000  0.000
Bi  0.500  0.500  0.500
P  0.500  0.500  0.000
Rh  0.000  0.500  0.500
Rh  0.500  0.000  0.500

* E_tot: -4.16 eV per atom
* total magnetic moment: 0.79 μB per formula unit
* E_form: 1.02 eV/atom


First-principles (PBE-GGA) data for a geometry-optimized Cs3Pu2HgO9 structure, as listed in Alexandria via LeMat-Bulk.

a = 6.282 Å, b = 6.282 Å, c = 7.782 Å
α = 90.00°, β = 90.00°, γ = 120.00°
Atoms (fractional coordinates):
Cs  0.000  0.000  0.000
Cs  0.333  0.667  0.653
Cs  0.667  0.333  0.347
Pu  0.333  0.667  0.155
Pu  0.667  0.333  0.845
Hg  0.000  0.000  0.500
O  0.000  0.500  0.000
O  0.185  0.370  0.301
O  0.185  0.815  0.301
O  0.370  0.185  0.699
O  0.500  0.000  0.000
O  0.500  0.500  0.000
O  0.630  0.815  0.301
O  0.815  0.185  0.699
O  0.815  0.630  0.699

* E_tot: -7.00 eV per atom
* total magnetic moment: 3.00 μB per formula unit


First-principles (PBE-GGA) data for a geometry-optimized ErZnAu structure, as listed in Alexandria via LeMat-Bulk.

a = 5.633 Å, b = 5.633 Å, c = 6.824 Å
α = 126.20°, β = 126.20°, γ = 47.58°
Atoms (fractional coordinates):
Er  0.032  0.032  0.287
Er  0.968  0.968  0.713
Zn  0.341  0.341  0.884
Zn  0.659  0.659  0.116
Au  0.323  0.323  0.294
Au  0.677  0.677  0.706

* E_tot: -3.69 eV per atom
* total magnetic moment: 0.00 μB per formula unit
* E_form: -0.65 eV/atom